LiZrRe2 after structural relaxation. Source: Alexandria via LeMat-Bulk, functional GGA-PBE.

a b c (Å): 4.521 4.521 5.200
angles (deg): 81.30 81.30 39.41
Positions (direct):
Re: 0.006 0.006 0.983
Re: 0.740 0.740 0.802
Li: 0.257 0.257 0.233
Zr: 0.497 0.497 0.482

## Properties
**Symmetry**: Cm, No. 8
**VASP energy**: -8.55 eV per atom
**Energy of formation from the pure elements**: 286 meV/atom
**DOS at the Fermi energy**: 0.7160 states/eV per atom



ReAg2Cl after structural relaxation. Source: Alexandria via LeMat-Bulk, functional GGA-PBE.

a b c (Å): 9.102 9.102 9.102
angles (deg): 18.75 18.75 18.75
Last column: magnetic moment on the atom in μB.
Positions (direct):
Ag: 0.501 0.501 0.501  0.01
Ag: 0.999 0.999 0.999  0.01
Re: 0.750 0.750 0.750  0.32
Cl: 0.250 0.250 0.250  0.00

## Properties
**Symmetry**: R-3m, No. 166
**Uncorrected formation energy**: 0.48 eV per atom
**VASP energy**: -4.52 eV per atom
**DOS at the Fermi energy**: 1.0693 states/eV per atom